The following is a GGA-PBE calculation of ScCr2Cd after structural relaxation, from the Alexandria database.

POSCAR file:
```
ScCr2Cd
1.0
4.3136 0.0000 0.0000
0.0000 4.3296 0.0000
0.0000 0.0000 3.9290
Cd Cr Sc
1 2 1
Direct
0.0000 0.5000 0.5000 Cd
0.0000 0.0000 0.0000 Cr
0.5000 0.5000 0.0000 Cr
0.5000 0.0000 0.5000 Sc
```

Computed properties:
- magnetic moment (Bohr magnetons per cell) = 6.961
- uncorrected energy (eV per atom) = -6.2330
- crystal system = orthorhombic
- formation energy (eV per atom) = 0.39